Arrangement 1

The following is a DFT calculation (PBE) of a geometry-optimized ErNbIr2 structure.

```
ErNbIr2
1.0
2.246 1.297 4.333
-2.246 1.297 4.333
0.000 -2.594 4.333
Er Nb Ir
1 1 2
direct
0.000 0.000 0.000
0.500 0.500 0.500
0.224 0.224 0.224
0.776 0.776 0.776
```

Results
Total moment = 0.000 Bohr magnetons per cell
Density = 14.14 Mg/m³
Symmetry = R-3m
D(E_F) = 2.541 states/eV per cell

=====

Arrangement 2

The following is a DFT calculation (PBE) of a geometry-optimized ErNbIr2 structure.

```
ErNbIr2
1.0
4.860 0.000 0.000
0.000 4.860 0.000
0.000 0.000 3.021
Er Nb Ir
1 1 2
direct
0.000 0.000 0.000
0.500 0.500 0.000
0.000 0.500 0.500
0.500 0.000 0.500
```

Results
Total moment = 0.001 Bohr magnetons per cell
Density = 15.00 Mg/m³
Symmetry = P4/mmm
D(E_F) = 3.970 states/eV per cell

=====

Top of the stability list: arrangement 2, leading by 29 meV/atom.